[1]
Density functional theory data (GGA+U) for a geometry-optimized MgNpVO6 structure.

Unit cell a=5.2564 b=5.2564 c=8.9028 alpha=90.00 beta=90.00 gamma=120.00
Last column: magnetic moment on the atom in μB.
Positions (direct):
Np 0.6667 0.3333 0.2500  0.29
Np 0.3333 0.6667 0.7500  0.29
V 0.0000 0.0000 0.5000  1.84
V 0.0000 0.0000 0.0000  1.84
O 0.0099 0.3347 0.6287  -0.03
O 0.3347 0.0099 0.1287  -0.03
O 0.3248 0.9901 0.6287  -0.03
O 0.6653 0.6752 0.6287  -0.03
O 0.9901 0.3248 0.1287  -0.03
O 0.9901 0.6653 0.3713  -0.03
O 0.3248 0.3347 0.8713  -0.03
O 0.6752 0.0099 0.3713  -0.03
O 0.3347 0.3248 0.3713  -0.03
O 0.0099 0.6752 0.8713  -0.03
O 0.6752 0.6653 0.1287  -0.03
O 0.6653 0.9901 0.8713  -0.03
Mg 0.6667 0.3333 0.7500  0.00
Mg 0.3333 0.6667 0.2500  0.00

## Properties
- magnetic moment (μB per formula unit) = 2.044
- space-group type = P-31c
- VASP energy (eV/cell) = -146.1

[2]
Density functional theory data (GGA+U) for a geometry-optimized MgNpWO6 structure.

Unit cell a=5.2852 b=5.2852 c=9.1894 alpha=90.00 beta=90.00 gamma=120.00
Last column: magnetic moment on the atom in μB.
Positions (direct):
O 0.6762 0.0036 0.3711  -0.05
O 0.0036 0.3274 0.6289  -0.05
O 0.3274 0.3238 0.3711  -0.05
O 0.9964 0.6726 0.3711  -0.05
O 0.3238 0.9964 0.6289  -0.05
O 0.6762 0.6726 0.1289  -0.05
O 0.3274 0.0036 0.1289  -0.05
O 0.0036 0.6762 0.8711  -0.05
O 0.6726 0.6762 0.6289  -0.05
O 0.6726 0.9964 0.8711  -0.05
O 0.3238 0.3274 0.8711  -0.05
O 0.9964 0.3238 0.1289  -0.05
W 0.0000 0.0000 0.5000  1.75
W 0.0000 0.0000 0.0000  1.75
Mg 0.3333 0.6667 0.2500  0.01
Mg 0.6667 0.3333 0.7500  0.01
Np 0.3333 0.6667 0.7500  1.55
Np 0.6667 0.3333 0.2500  1.55

## Properties
- magnetic moment (μB per formula unit) = 3.000
- space-group type = P-31c
- VASP energy (eV/cell) = -147.0